No. 1
# K2LaTa (PBE, relaxed)
data_K2LaTa
_chemical_formula_sum 'K4 La2 Ta2'
_symmetry_space_group_name_H-M 'P 1'
_symmetry_Int_Tables_number 1
_symmetry_space_group_name_Hall 'P 1'
_cell_length_a 4.5037
_cell_length_b 4.5037
_cell_length_c 14.2898
_cell_angle_alpha 80.93
_cell_angle_beta 80.93
_cell_angle_gamma 90.00
loop_
_atom_site_label
_atom_site_type_symbol
_atom_site_fract_x
_atom_site_fract_y
_atom_site_fract_z
_atom_site_occupancy
K1 K 0.1174 0.6250 0.2500 1
K2 K 0.8750 0.8826 0.7500 1
K3 K 0.6326 0.1250 0.2500 1
La1 La 0.2500 0.7500 0.5000 1
K4 K 0.3750 0.3674 0.7500 1
Ta1 Ta 0.7500 0.2500 0.5000 1
Ta2 Ta 0.0000 0.0000 0.0000 1
La2 La 0.5000 0.5000 0.0000 1
# Offset from the most stable computed form ... 0.414 eV/atom
# E_form ... 1.214 eV per atom
# Space group ... No. 122
# Total moment ... 1.88 μB/cell
# DFT total energy ... -28.241 eV/cell

No. 2
# K2LaTa (PBE, relaxed)
data_K2LaTa
_chemical_formula_sum 'K2 La1 Ta1'
_symmetry_space_group_name_H-M 'P 1'
_symmetry_Int_Tables_number 1
_symmetry_space_group_name_Hall 'P 1'
_cell_length_a 3.9054
_cell_length_b 3.9054
_cell_length_c 10.9582
_cell_angle_alpha 90.00
_cell_angle_beta 90.00
_cell_angle_gamma 90.00
loop_
_atom_site_label
_atom_site_type_symbol
_atom_site_fract_x
_atom_site_fract_y
_atom_site_fract_z
_atom_site_occupancy
Ta1 Ta 0.5000 0.5000 0.6857 1
K1 K 0.5000 0.5000 0.2977 1
K2 K 0.0000 0.0000 0.9318 1
La1 La 0.0000 0.0000 0.5848 1
# Offset from the most stable computed form ... 0.050 eV/atom
# E_form ... 0.850 eV per atom
# Space group ... No. 99
# Total moment ... 0.00 μB/cell
# DFT total energy ... -15.577 eV/cell

No. 3
# K2LaTa (PBE, relaxed)
data_K2LaTa
_chemical_formula_sum 'K2 La1 Ta1'
_symmetry_space_group_name_H-M 'P 1'
_symmetry_Int_Tables_number 1
_symmetry_space_group_name_Hall 'P 1'
_cell_length_a 3.1373
_cell_length_b 6.7834
_cell_length_c 6.4246
_cell_angle_alpha 90.00
_cell_angle_beta 90.00
_cell_angle_gamma 90.00
loop_
_atom_site_label
_atom_site_type_symbol
_atom_site_fract_x
_atom_site_fract_y
_atom_site_fract_z
_atom_site_occupancy
Ta1 Ta 0.5000 0.5000 0.7500 1
La1 La 0.5000 0.5000 0.2500 1
K1 K 0.0000 0.0000 0.5145 1
K2 K 0.0000 0.0000 0.9855 1
# Offset from the most stable computed form ... 0.383 eV/atom
# E_form ... 1.183 eV per atom
# Space group ... No. 47
# Total moment ... 1.26 μB/cell
# DFT total energy ... -14.245 eV/cell

No. 4
# K2LaTa (PBE, relaxed)
data_K2LaTa
_chemical_formula_sum 'K2 La1 Ta1'
_symmetry_space_group_name_H-M 'P 1'
_symmetry_Int_Tables_number 1
_symmetry_space_group_name_Hall 'P 1'
_cell_length_a 7.5611
_cell_length_b 7.5611
_cell_length_c 3.1529
_cell_angle_alpha 90.00
_cell_angle_beta 90.00
_cell_angle_gamma 130.54
loop_
_atom_site_label
_atom_site_type_symbol
_atom_site_fract_x
_atom_site_fract_y
_atom_site_fract_z
_atom_site_occupancy
K1 K 0.0000 0.0000 0.0000 1
Ta1 Ta 0.0000 0.5000 0.5000 1
K2 K 0.5000 0.5000 0.0000 1
La1 La 0.5000 0.0000 0.5000 1
# Offset from the most stable computed form ... 0.395 eV/atom
# E_form ... 1.195 eV per atom
# Space group ... No. 65
# Total moment ... 1.14 μB/cell
# DFT total energy ... -14.196 eV/cell

No. 5
# KLaTa (PBE, relaxed)
data_KLaTa
_chemical_formula_sum 'K1 La1 Ta1'
_symmetry_space_group_name_H-M 'P 1'
_symmetry_Int_Tables_number 1
_symmetry_space_group_name_Hall 'P 1'
_cell_length_a 9.6207
_cell_length_b 9.6209
_cell_length_c 3.2131
_cell_angle_alpha 80.38
_cell_angle_beta 80.39
_cell_angle_gamma 19.23
loop_
_atom_site_label
_atom_site_type_symbol
_atom_site_fract_x
_atom_site_fract_y
_atom_site_fract_z
_atom_site_occupancy
Ta1 Ta 0.6820 0.6820 0.3180 1
La1 La 0.3039 0.3039 0.6961 1
K1 K 0.0142 0.0142 0.9858 1
# Offset from the most stable computed form ... 0.000 eV/atom
# E_form ... 0.819 eV per atom
# Space group ... No. 107
# Total moment ... 0.00 μB/cell
# DFT total energy ... -15.421 eV/cell

No. 6
# KLaTa (PBE, relaxed)
data_KLaTa
_chemical_formula_sum 'K1 La1 Ta1'
_symmetry_space_group_name_H-M 'P 1'
_symmetry_Int_Tables_number 1
_symmetry_space_group_name_Hall 'P 1'
_cell_length_a 3.3102
_cell_length_b 3.3102
_cell_length_c 9.6687
_cell_angle_alpha 90.00
_cell_angle_beta 90.00
_cell_angle_gamma 120.00
loop_
_atom_site_label
_atom_site_type_symbol
_atom_site_fract_x
_atom_site_fract_y
_atom_site_fract_z
_atom_site_occupancy
Ta1 Ta 0.3333 0.6667 0.6458 1
La1 La 0.6667 0.3333 0.3810 1
K1 K 0.0000 0.0000 0.9732 1
# Offset from the most stable computed form ... 0.075 eV/atom
# E_form ... 0.894 eV per atom
# Space group ... No. 156
# Total moment ... 0.00 μB/cell
# DFT total energy ... -15.197 eV/cell